PBE with a Hubbard U Ta3VO, optimized geometry; final energy = -7.5443 eV per atom; size of the total moment = 0.003 μB/cell; Fermi-level density of states = 4.860 states/eV/f.u.; crystal system = cubic; polymorph energy (0 for the lowest one) = 2279.4 meV per atom
1.0
4.6457 0.0000 0.0000
0.0000 4.6457 0.0000
0.0000 0.0000 4.6457
O Ta V
1 3 1
Direct
0.5000 0.5000 0.5000
0.5000 0.0000 0.0000
0.0000 0.5000 0.0000
0.0000 0.0000 0.5000
0.0000 0.0000 0.0000